--- one ---
# AsS2N2 PBE optimized geometry
data_AsS2N2
_cell_length_a 4.8683
_cell_length_b 4.8683
_cell_length_c 3.7022
_cell_angle_alpha 90.00
_cell_angle_beta 90.00
_cell_angle_gamma 90.00
_symmetry_space_group_name_H-M 'P 4/m m m'
_symmetry_Int_Tables_number 123
_symmetry_space_group_name_Hall '-P 4 2'
loop_
_atom_site_label
_atom_site_fract_x
_atom_site_fract_y
_atom_site_fract_z
As1 0.0000 0.0000 0.0000
S1 0.0000 0.5000 0.0000
N1 0.0000 0.0000 0.5000
N2 0.5000 0.5000 0.5000
# Magnetic moment: 0.065 μB per atom

***

--- two ---
# AsS2N2 PBE optimized geometry
data_AsS2N2
_cell_length_a 3.6127
_cell_length_b 3.6127
_cell_length_c 4.6937
_cell_angle_alpha 90.00
_cell_angle_beta 90.00
_cell_angle_gamma 90.00
_symmetry_space_group_name_H-M 'P 4/m m m'
_symmetry_Int_Tables_number 123
_symmetry_space_group_name_Hall '-P 4 2'
loop_
_atom_site_label
_atom_site_fract_x
_atom_site_fract_y
_atom_site_fract_z
As1 0.0000 0.0000 0.0000
S1 0.5000 0.5000 0.0000
S2 0.5000 0.5000 0.5000
N1 0.0000 0.5000 0.5000
# Magnetic moment: 0.092 μB per atom

***

What should be chosen as the most stable of them? Choose two.

***

--- one ---
# As3SN PBE optimized geometry
data_As3SN
_cell_length_a 4.8161
_cell_length_b 4.8161
_cell_length_c 4.8161
_cell_angle_alpha 90.00
_cell_angle_beta 90.00
_cell_angle_gamma 90.00
_symmetry_space_group_name_H-M 'P m -3 m'
_symmetry_Int_Tables_number 221
_symmetry_space_group_name_Hall '-P 4 2 3'
loop_
_atom_site_label
_atom_site_fract_x
_atom_site_fract_y
_atom_site_fract_z
As1 0.0000 0.0000 0.5000
S1 0.0000 0.0000 0.0000
N1 0.5000 0.5000 0.5000
# Magnetic moment: 0.383 μB per atom

***

--- two ---
# As3SN PBE optimized geometry
data_As3SN
_cell_length_a 4.3902
_cell_length_b 4.3902
_cell_length_c 4.3902
_cell_angle_alpha 90.00
_cell_angle_beta 90.00
_cell_angle_gamma 90.00
_symmetry_space_group_name_H-M 'P m -3 m'
_symmetry_Int_Tables_number 221
_symmetry_space_group_name_Hall '-P 4 2 3'
loop_
_atom_site_label
_atom_site_fract_x
_atom_site_fract_y
_atom_site_fract_z
As1 0.0000 0.0000 0.5000
S1 0.5000 0.5000 0.5000
N1 0.0000 0.0000 0.0000
# Magnetic moment: 0.000 μB per atom

***

What should be chosen as the most stable of them? Choose two.

***

--- one ---
# AsS2N PBE optimized geometry
data_AsS2N
_cell_length_a 6.1219
_cell_length_b 6.1219
_cell_length_c 6.1219
_cell_angle_alpha 90.00
_cell_angle_beta 90.00
_cell_angle_gamma 90.00
_symmetry_space_group_name_H-M 'F m -3 m'
_symmetry_Int_Tables_number 225
_symmetry_space_group_name_Hall '-F 4 2 3'
loop_
_atom_site_label
_atom_site_fract_x
_atom_site_fract_y
_atom_site_fract_z
As1 0.0000 0.0000 0.0000
S1 0.2500 0.2500 0.2500
N1 0.0000 0.0000 0.5000
# Magnetic moment: 0.255 μB per atom

***

--- two ---
# AsS2N PBE optimized geometry
data_AsS2N
_cell_length_a 3.1174
_cell_length_b 3.1174
_cell_length_c 22.8000
_cell_angle_alpha 90.00
_cell_angle_beta 90.00
_cell_angle_gamma 120.00
_symmetry_space_group_name_H-M 'R -3 m'
_symmetry_Int_Tables_number 166
_symmetry_space_group_name_Hall '-R 3 2"'
loop_
_atom_site_label
_atom_site_fract_x
_atom_site_fract_y
_atom_site_fract_z
As1 0.0000 0.0000 0.0000
S1 0.0000 0.0000 0.1092
N1 0.0000 0.0000 0.5000
# Magnetic moment: 0.000 μB per atom

***

--- three ---
# AsS2N PBE optimized geometry
data_AsS2N
_cell_length_a 3.6741
_cell_length_b 3.6741
_cell_length_c 19.7327
_cell_angle_alpha 90.00
_cell_angle_beta 90.00
_cell_angle_gamma 120.00
_symmetry_space_group_name_H-M 'R -3 m'
_symmetry_Int_Tables_number 166
_symmetry_space_group_name_Hall '-R 3 2"'
loop_
_atom_site_label
_atom_site_fract_x
_atom_site_fract_y
_atom_site_fract_z
As1 0.0000 0.0000 0.0000
S1 0.0000 0.0000 0.4204
N1 0.0000 0.0000 0.5000
# Magnetic moment: 0.000 μB per atom

***

What should be chosen as the most stable of them? Choose three.